DFT (PBE) results for a relaxed UTe3Pd2 crystal.

abc: 7.0374 4.2494 10.9957
angles: 90.00 96.01 90.00
Closest atoms and distances in Å follow each position.
Atoms (fractional coordinates):
U 0.2173 0.2500 0.3226  3 Pd 3.02-3.32, 5 Te 3.02-3.18
U 0.7827 0.7500 0.6774  3 Pd 3.02-3.32, 5 Te 3.02-3.18
Te 0.1399 0.7500 0.8557  3 Pd 2.63-2.71
Te 0.1979 0.7500 0.5357  3 Pd 2.74-2.90
Te 0.4239 0.7500 0.1874  2 Pd 2.70-2.72
Te 0.5761 0.2500 0.8126  2 Pd 2.70-2.72
Te 0.8021 0.2500 0.4643  3 Pd 2.74-2.90
Te 0.8601 0.2500 0.1443  3 Pd 2.63-2.71
Pd 0.0546 0.7500 0.0901  4 Te 2.63-2.71
Pd 0.4424 0.2500 0.5717  4 Te 2.72-2.90, 2 Pd 2.81, 1 U 3.02
Pd 0.5576 0.7500 0.4283  4 Te 2.72-2.90, 2 Pd 2.81, 1 U 3.02
Pd 0.9454 0.2500 0.9099  4 Te 2.63-2.71

Values from the calculation:
VASP energy = -5.641 eV per atom
DOS(E_F) = 6.8 states/eV/f.u.
M_tot = 1.516 μB per formula unit
Crystal system = monoclinic
Calculated volume = 27.25 Å³ per atom